# 1
# LiZnFe

A crystal of LiZnFe relaxed with PBEsol (SCAN, Alexandria via LeMat-Bulk).

Unit cell a=4.1493 b=4.1493 c=2.4662 alpha=90.00 beta=90.00 gamma=120.00
Positions (direct):
Li 0.0000 0.0000 0.0000
Zn 0.6667 0.3333 0.2892
Fe 0.3333 0.6667 0.6813

Output
E	-11.259	eV/atom
energy above the lowest structure with this stoichiometry	0.0	meV per atom
formation enthalpy at 0 K	86	meV/atom
magnetization	2.77	μB per cell

=====

# 2
# BiPS4

A crystal of BiPS4 relaxed with PBEsol (SCAN, Alexandria via LeMat-Bulk).

Unit cell a=12.1951 b=12.1951 c=12.1951 alpha=127.74 beta=127.55 gamma=77.20
Positions (direct):
Bi 0.1234 0.8734 0.2500
Bi 0.1261 0.3761 0.7500
Bi 0.3739 0.1239 0.2500
Bi 0.3766 0.6266 0.7500
Bi 0.6234 0.3734 0.2500
Bi 0.6261 0.8761 0.7500
Bi 0.8739 0.6239 0.2500
Bi 0.8766 0.1266 0.7500
P 0.2134 0.2500 0.4634
P 0.2500 0.2861 0.0361
P 0.2500 0.7861 0.5361
P 0.2866 0.7500 0.0366
P 0.7134 0.2500 0.9634
P 0.7500 0.2139 0.4639
P 0.7500 0.7139 0.9639
P 0.7866 0.7500 0.5366
S 0.0868 0.8862 0.4804
S 0.0900 0.6663 0.9331
S 0.0942 0.3936 0.9804
S 0.1061 0.4060 0.5199
S 0.1140 0.0940 0.2002
S 0.1563 0.0894 0.9228
S 0.1666 0.5894 0.4331
S 0.2332 0.1569 0.5669
S 0.2668 0.8337 0.9237
S 0.3334 0.7665 0.4228
S 0.3437 0.2665 0.9331
S 0.3860 0.5862 0.9801
S 0.3939 0.9138 0.2998
S 0.4058 0.3862 0.2993
S 0.4100 0.3431 0.5763
S 0.4132 0.8936 0.7993
S 0.5868 0.1064 0.2007
S 0.5900 0.6569 0.4237
S 0.5942 0.6138 0.7007
S 0.6061 0.0862 0.7002
S 0.6140 0.4138 0.0199
S 0.6563 0.7335 0.0669
S 0.6666 0.2335 0.5772
S 0.7332 0.1663 0.0763
S 0.7668 0.8431 0.4331
S 0.8334 0.4106 0.5669
S 0.8437 0.9106 0.0772
S 0.8860 0.9060 0.7998
S 0.8939 0.5940 0.4801
S 0.9058 0.6064 0.0196
S 0.9100 0.3337 0.0669
S 0.9132 0.1138 0.5196

Output
E	-21.567	eV/atom
formation energy from raw total energies	-30.71	kJ per mole of atoms
magnetization	0.00	μB per cell

=====

Question: The highest E belongs to which entry?
Answer: LiZnFe

=====

Question: Which of these has the lowest magnetization?
Answer: BiPS4